Crystalline KPm2Pb3Se6 at its relaxed geometry, computed with GGA-PBE.

Cell: 18.9223 4.2299 9.3069 Å, 90.00 102.21 90.00°
With the nearest neighbours (Å) after each atom.
Space group C2/m (No. 12)
Asymmetric unit:
K (0.0000, 0.0000, 0.0000) [2 per cell]  6 Se 3.25-3.33
Pm (0.1671, 0.5000, 0.3323) [4 per cell]  6 Se 2.88-3.04
Pb (0.0000, 0.0000, 0.5000) [2 per cell]  6 Se 3.06-3.14
Pb (0.1596, 0.5000, 0.8339) [4 per cell]  4 Se 2.99-3.32
Se (0.0114, 0.5000, 0.2690) [4 per cell]  1 Pm 2.88, 3 Pb 3.06-3.17
Se (0.1694, 0.0000, 0.5597) [4 per cell]  3 Pm 2.99-3.04, 1 Pb 3.14
Se (0.1792, 0.0000, 0.1147) [4 per cell]  2 Pm 2.97, 3 Pb 2.99-3.32

Results
**ΔE_f (raw)**: -1.1012 eV/atom